# 1
A plane-wave DFT calculation with PBE was carried out for an optimized crystal structure of AuSe3I.

The structure belongs to space group Pm-3m (No. 221); the cell edges are 5.134, 5.134 and 5.134 Å and the angles 90.00°, 90.00° and 90.00°. The inequivalent atoms are Au at (0.000, 0.000, 0.000), Se at (0.000, 0.000, 0.500) and I at (0.500, 0.500, 0.500).

The calculation puts the calculated volume at 27.07 A^3/atom. As for the formation energy without anion corrections: 614 meV per atom. Its energy is -2.442 eV/atom. The distance to the lowest polymorph of the same formula comes out at 0.000 eV/atom.


# 2
A plane-wave DFT calculation with PBE was carried out for an optimized crystal structure of SmSc2ReO8.

The structure belongs to space group Cmmm (No. 65); the cell edges are 6.865, 6.964 and 6.600 Å and the angles 90.00°, 90.00° and 90.00°. The inequivalent atoms are Sm at (0.000, 0.000, 0.000), Sc at (0.000, 0.500, 0.242), Re at (0.000, 0.000, 0.500), O at (0.000, 0.274, 0.500), O at (0.000, 0.321, 0.000) and O at (0.193, 0.000, 0.294).

The calculation puts the calculated volume at 13.15 A^3/atom. As for the formation energy without anion corrections: -2728 meV per atom. Its energy is -8.519 eV/atom.


# 3
A plane-wave DFT calculation with PBE was carried out for an optimized crystal structure of BaZrV3.

The structure belongs to space group Pm-3m (No. 221); the cell edges are 4.798, 4.798 and 4.798 Å and the angles 90.00°, 90.00° and 90.00°. The inequivalent atoms are Ba at (0.000, 0.000, 0.000), Zr at (0.500, 0.500, 0.500) and V at (0.000, 0.000, 0.500).

The calculation puts the calculated volume at 22.09 A^3/atom. Its energy is -5.428 eV/atom. The distance to the lowest polymorph of the same formula comes out at 0.806 eV/atom. The value obtained for the formation energy is 2.137 eV/atom.


# 4
A plane-wave DFT calculation with PBE was carried out for an optimized crystal structure of Tb2YIrO8.

The structure belongs to space group Cmmm (No. 65); the cell edges are 7.114, 7.190 and 6.817 Å and the angles 90.00°, 90.00° and 90.00°. The inequivalent atoms are Tb at (0.000, 0.000, 0.248), Y at (0.000, 0.500, 0.000), Ir at (0.000, 0.500, 0.500), O at (0.000, 0.317, 0.290), O at (0.193, 0.000, 0.000) and O at (0.232, 0.000, 0.500).

The calculation puts the calculated volume at 14.53 A^3/atom. As for the formation energy without anion corrections: -2344 meV per atom. Its energy is -7.698 eV/atom.